# 1
CrCl at its PBEsol-relaxed geometry, computed with meta-GGA SCAN.

The calculation puts the total energy at -27.175 eV per cell.

It has space group P-6m2 (No. 187), with a = 3.5723 Å, b = 3.5723 Å, c = 3.5044 Å, α = 90.00°, β = 90.00° and γ = 120.00°. The inequivalent atoms are Cr at (0.0000, 0.0000, 0.0000) and Cl at (0.6667, 0.3333, 0.5000).

# 2
CrCl at its PBEsol-relaxed geometry, computed with meta-GGA SCAN.

The calculation puts the total energy at -54.613 eV per cell.

It has space group P6_3mc (No. 186), with a = 3.6527 Å, b = 3.6527 Å, c = 7.7027 Å, α = 90.00°, β = 90.00° and γ = 120.00°. The inequivalent atoms are Cr at (0.3333, 0.6667, 0.0000) and Cl at (0.3333, 0.6667, 0.3132).

# 3
CrCl at its PBEsol-relaxed geometry, computed with meta-GGA SCAN.

The calculation puts the total energy at -109.045 eV per cell.

It has space group Cmcm (No. 63), with a = 3.976 Å, b = 11.479 Å, c = 3.385 Å, α = 90.00°, β = 90.00° and γ = 90.00°. The inequivalent atoms are Cr at (0.000, 0.121, 0.250) and Cl at (0.000, 0.360, 0.250).

# 4
Cr3Cl at its PBEsol-relaxed geometry, computed with meta-GGA SCAN.

The offset from the most stable computed form is 38.2 kJ per mole of atoms.

It has space group I4/mmm (No. 139), with a = 3.841 Å, b = 3.841 Å, c = 7.111 Å, α = 90.00°, β = 90.00° and γ = 90.00°. The inequivalent atoms are Cr at (0.000, 0.000, 0.000), Cr at (0.000, 0.500, 0.250) and Cl at (0.000, 0.000, 0.500).

# 5
Cr3Cl at its PBEsol-relaxed geometry, computed with meta-GGA SCAN.

The offset from the most stable computed form is 0.0 kJ per mole of atoms.

It has space group Cmmm (No. 65), with a = 2.939 Å, b = 4.763 Å, c = 7.511 Å, α = 90.00°, β = 90.00° and γ = 90.00°. The inequivalent atoms are Cr at (0.000, 0.000, 0.000), Cr at (0.000, 0.500, 0.234) and Cl at (0.000, 0.000, 0.500).

# 6
Cr3Cl at its PBEsol-relaxed geometry, computed with meta-GGA SCAN.

The offset from the most stable computed form is 51.2 kJ per mole of atoms.

It has space group Imm2 (No. 44), with a = 2.722 Å, b = 9.020 Å, c = 3.944 Å, α = 90.00°, β = 90.00° and γ = 90.00°. The inequivalent atoms are Cr at (0.000, 0.000, 0.000), Cr at (0.000, 0.295, 0.252) and Cl at (0.000, 0.500, 0.942).

# 7
CrCl3 at its PBEsol-relaxed geometry, computed with meta-GGA SCAN.

The calculation puts the total energy at -193.480 eV per cell.

It has space group C2/m (No. 12), with a = 5.927 Å, b = 10.264 Å, c = 6.309 Å, α = 90.00°, β = 107.46° and γ = 90.00°. The inequivalent atoms are Cr at (0.000, 0.167, 0.000), Cl at (0.214, 0.000, 0.219) and Cl at (0.248, 0.322, 0.219).

# 8
CrCl3 at its PBEsol-relaxed geometry, computed with meta-GGA SCAN.

The calculation puts the total energy at -290.215 eV per cell.

It has space group R-3 (No. 148, hexagonal axes), with a = 5.9269 Å, b = 5.9269 Å, c = 17.9912 Å, α = 90.00°, β = 90.00° and γ = 120.00°. The inequivalent atoms are Cr at (0.0000, 0.0000, 0.1666) and Cl at (0.0003, 0.3563, 0.4267).

# 9
CrCl3 at its PBEsol-relaxed geometry, computed with meta-GGA SCAN.

The calculation puts the total energy at -90.431 eV per cell.

It has space group Cmmm (No. 65), with a = 3.321 Å, b = 6.029 Å, c = 9.329 Å, α = 90.00°, β = 90.00° and γ = 90.00°. The inequivalent atoms are Cr at (0.000, 0.000, 0.000), Cl at (0.000, 0.000, 0.500) and Cl at (0.000, 0.500, 0.171).

# 10
Cs2CrCl4 at its PBEsol-relaxed geometry, computed with meta-GGA SCAN.

The calculation puts the total energy at -278.511 eV per cell.

It has space group I4/mmm (No. 139), with a = 5.029 Å, b = 5.029 Å, c = 16.475 Å, α = 90.00°, β = 90.00° and γ = 90.00°. The inequivalent atoms are Cs at (0.000, 0.000, 0.142), Cr at (0.000, 0.000, 0.500), Cl at (0.000, 0.000, 0.354) and Cl at (0.000, 0.500, 0.000).

# 11
Cs2CrH8Cl5O4 at its PBEsol-relaxed geometry, computed with meta-GGA SCAN.

The calculation puts the total energy at -860.050 eV per cell.

It has space group C2/c (No. 15), with a = 19.056 Å, b = 6.014 Å, c = 13.877 Å, α = 90.00°, β = 118.93° and γ = 90.00°. The inequivalent atoms are Cs at (0.202, 0.010, 0.327), Cr at (0.000, 0.500, 0.000), H at (0.014, 0.173, 0.386), H at (0.034, 0.260, 0.872), H at (0.089, 0.158, 0.509), H at (0.107, 0.238, 0.995), Cl at (0.000, 0.012, 0.750), Cl at (0.110, 0.491, 0.672), Cl at (0.192, 0.008, 0.071), O at (0.032, 0.212, 0.464) and O at (0.065, 0.344, 0.943).

# 12
Cr2CuCl at its PBEsol-relaxed geometry, computed with meta-GGA SCAN.

The offset from the most stable computed form is 0.0 kJ per mole of atoms.

It has space group P4/mmm (No. 123), with a = 3.043 Å, b = 3.043 Å, c = 6.603 Å, α = 90.00°, β = 90.00° and γ = 90.00°. The inequivalent atoms are Cr at (0.000, 0.000, 0.224), Cu at (0.500, 0.500, 0.000) and Cl at (0.500, 0.500, 0.500).